Entry from the Open Quantum Materials Database: a relaxed GdTm2LuIn2 crystal (PBE). Values from VASP.

```
&SYSTEM
  ibrav = 0, nat = 6, ntyp = 4
/
ATOMIC_SPECIES
Lu 174.97 Lu.upf
Gd 157.25 Gd.upf
Tm 168.93 Tm.upf
In 114.82 In.upf
CELL_PARAMETERS angstrom
-0.608 1.404 -5.113
-4.146 0.261 3.350
1.633 6.287 1.532
ATOMIC_POSITIONS angstrom
Lu 0.817 3.143 0.766
Gd 0.000 0.000 0.000
Tm -1.750 5.327 1.671
Tm -1.371 2.624 -1.901
In -2.555 2.227 0.915
In -0.566 5.724 -1.146
```

Calculated values
Total DFT energy (no corrections): -25.67 eV per formula unit
Space-group type: No. 164

---

Entry from the Open Quantum Materials Database: a relaxed K2TlCdCl6 crystal (PBE). Values from VASP.

```
&SYSTEM
  ibrav = 0, nat = 10, ntyp = 4
/
ATOMIC_SPECIES
K 39.10 K.upf
Cl 35.45 Cl.upf
Cd 112.41 Cd.upf
Tl 204.38 Tl.upf
CELL_PARAMETERS angstrom
-1.909 -7.051 -1.992
-4.168 -4.257 4.673
-7.184 -1.624 -1.754
ATOMIC_POSITIONS angstrom
K -9.946 -9.699 0.696
K -3.315 -3.233 0.232
Cl -6.915 -3.979 -0.675
Cl -6.346 -8.952 1.602
Cl -4.206 -6.766 -0.797
Cl -7.896 -7.601 -1.698
Cl -9.055 -6.166 1.725
Cl -5.366 -5.331 2.625
Cd 0.000 0.000 0.000
Tl -6.631 -6.466 0.464
```

Calculated values
Total DFT energy (no corrections): -29.45 eV per formula unit
Space-group type: No. 225

---

Entry from the Open Quantum Materials Database: a relaxed ZrCdInSe3 crystal (PBE). Values from VASP.

```
&SYSTEM
  ibrav = 0, nat = 12, ntyp = 4
/
ATOMIC_SPECIES
Se 78.96 Se.upf
Cd 112.41 Cd.upf
Zr 91.22 Zr.upf
In 114.82 In.upf
CELL_PARAMETERS angstrom
1.961 -7.315 0.000
1.961 7.315 0.000
0.000 0.000 10.710
ATOMIC_POSITIONS angstrom
Se 1.961 6.262 8.032
Se 1.961 1.932 5.641
Se 1.961 -1.932 5.069
Se 1.961 -1.932 0.286
Se 1.961 -6.262 2.677
Se 1.961 1.932 10.424
Cd 1.961 0.849 8.032
Cd 1.961 -0.849 2.677
Zr 0.000 0.000 5.355
Zr 0.000 0.000 0.000
In 1.961 -3.545 8.032
In 1.961 3.545 2.677
```

Calculated values
Total DFT energy (no corrections): -26.73 eV per formula unit
Space-group type: No. 63

---

Q: What is the formula in the first record?
A: GdTm2LuIn2

---

Q: The lowest total DFT energy (no corrections) belongs to which entry?
A: K2TlCdCl6

---

Please write out number 1 again, unchanged.
Entry from the Open Quantum Materials Database: a relaxed GdTm2LuIn2 crystal (PBE). Values from VASP.

```
&SYSTEM
  ibrav = 0, nat = 6, ntyp = 4
/
ATOMIC_SPECIES
Lu 174.97 Lu.upf
Gd 157.25 Gd.upf
Tm 168.93 Tm.upf
In 114.82 In.upf
CELL_PARAMETERS angstrom
-0.608 1.404 -5.113
-4.146 0.261 3.350
1.633 6.287 1.532
ATOMIC_POSITIONS angstrom
Lu 0.817 3.143 0.766
Gd 0.000 0.000 0.000
Tm -1.750 5.327 1.671
Tm -1.371 2.624 -1.901
In -2.555 2.227 0.915
In -0.566 5.724 -1.146
```

Calculated values
Total DFT energy (no corrections): -25.67 eV per formula unit
Space-group type: No. 164